Compound: ZnTcAs
Source: Alexandria
Functional: PBE
Structure: relaxed

```
data_ZnTcAs
_symmetry_space_group_name_H-M 'P 1'
_symmetry_Int_Tables_number 1
_cell_length_a 3.2171
_cell_length_b 3.2171
_cell_length_c 8.5798
_cell_angle_alpha 90.00
_cell_angle_beta 90.00
_cell_angle_gamma 90.00
loop_
_symmetry_equiv_pos_as_xyz
'x,y,z'
loop_
_atom_site_label
_atom_site_type_symbol
_atom_site_fract_x
_atom_site_fract_y
_atom_site_fract_z
Zn1 Zn 0.0000 0.0000 0.0000
Zn2 Zn 0.5000 0.5000 0.5000
Tc1 Tc 0.0000 0.0000 0.3207
Tc2 Tc 0.5000 0.5000 0.8207
As1 As 0.0000 0.0000 0.6805
As2 As 0.5000 0.5000 0.1805
```

Values from the calculation:
ΔE to the lowest computed polymorph = 0.0 meV/atom
volume = 14.80 A^3/atom
ΔE_f = -0.127 eV per atom
DOS(E_F) = 0.2 states/eV/f.u.